A geometry-optimized CePmCr2O8 structure, computed with GGA+U.

Cell: 5.142 5.142 11.556 Å, 90.00 90.00 90.00°
Space group I-4 (No. 82)
Symmetry-distinct sites (fractional):
Ce 0.000 0.000 0.000
Pm 0.000 0.500 0.250
Cr 0.000 0.000 0.500
Cr 0.000 0.500 0.750
O 0.146 0.750 0.828
O 0.158 0.263 0.423

## Properties
Its final energy is -186.6 eV/cell. The size of the total moment comes out at 3.037 μB per formula unit.